(1)
Here is crystalline NaNdInPt at its relaxed geometry from the Alexandria database. Energies are from PBE-GGA.

Output
D(E_F) = 1.800 states/eV per atom
Formation energy = -514 meV per atom
ρ = 8.9 g cm⁻³

```
data_NaNdInPt
_chemical_formula_sum 'Na1 Nd1 In1 Pt1'
_symmetry_space_group_name_H-M 'P 1'
_symmetry_Int_Tables_number 1
_cell_length_a 5.005
_cell_length_b 5.005
_cell_length_c 5.005
_cell_angle_alpha 60.00
_cell_angle_beta 60.00
_cell_angle_gamma 60.00
loop_
_symmetry_equiv_pos_as_xyz
'x,y,z'
loop_
_atom_site_label
_atom_site_type_symbol
_atom_site_fract_x
_atom_site_fract_y
_atom_site_fract_z
Na1 Na 0.000 0.000 0.000
Nd1 Nd 0.750 0.750 0.750
In1 In 0.250 0.250 0.250
Pt1 Pt 0.500 0.500 0.500
```

***

(2)
Here is crystalline Pr4SmEr3Te8 at its relaxed geometry from the Alexandria database. Energies are from PBE-GGA.

Output
D(E_F) = 0.666 states/eV per atom
Formation energy from raw total energies = -1.350 eV/atom
ρ = 7.5 g cm⁻³

```
data_Pr4SmEr3Te8
_chemical_formula_sum 'Pr4 Sm1 Er3 Te8'
_symmetry_space_group_name_H-M 'P 1'
_symmetry_Int_Tables_number 1
_cell_length_a 9.007
_cell_length_b 9.007
_cell_length_c 9.007
_cell_angle_alpha 58.24
_cell_angle_beta 58.24
_cell_angle_gamma 58.24
loop_
_symmetry_equiv_pos_as_xyz
'x,y,z'
loop_
_atom_site_label
_atom_site_type_symbol
_atom_site_fract_x
_atom_site_fract_y
_atom_site_fract_z
Pr1 Pr 0.000 0.000 0.000
Pr2 Pr 0.000 0.500 0.500
Pr3 Pr 0.500 0.000 0.500
Pr4 Pr 0.500 0.500 0.000
Sm1 Sm 0.500 0.500 0.500
Er1 Er 0.000 0.000 0.500
Er2 Er 0.000 0.500 0.000
Er3 Er 0.500 0.000 0.000
Te1 Te 0.240 0.748 0.748
Te2 Te 0.244 0.244 0.244
Te3 Te 0.252 0.252 0.760
Te4 Te 0.252 0.760 0.252
Te5 Te 0.748 0.240 0.748
Te6 Te 0.748 0.748 0.240
Te7 Te 0.756 0.756 0.756
Te8 Te 0.760 0.252 0.252
```

***

(3)
Here is crystalline Tl3Ag5Br16 at its relaxed geometry from the Alexandria database. Energies are from PBE-GGA.

Output
D(E_F) = 0.700 states/eV per atom
Formation energy from raw total energies = -0.354 eV/atom
ρ = 5.2 g cm⁻³

```
data_Tl3Ag5Br16
_chemical_formula_sum 'Tl3 Ag5 Br16'
_symmetry_space_group_name_H-M 'P 1'
_symmetry_Int_Tables_number 1
_cell_length_a 8.322
_cell_length_b 8.322
_cell_length_c 13.180
_cell_angle_alpha 95.26
_cell_angle_beta 95.26
_cell_angle_gamma 57.96
loop_
_symmetry_equiv_pos_as_xyz
'x,y,z'
loop_
_atom_site_label
_atom_site_type_symbol
_atom_site_fract_x
_atom_site_fract_y
_atom_site_fract_z
Tl1 Tl 0.000 0.000 0.000
Tl2 Tl 0.159 0.662 0.500
Tl3 Tl 0.662 0.159 0.500
Ag1 Ag 0.003 0.499 0.997
Ag2 Ag 0.179 0.179 0.250
Ag3 Ag 0.499 0.003 0.997
Ag4 Ag 0.504 0.504 0.767
Ag5 Ag 0.658 0.658 0.506
Br1 Br 0.163 0.163 0.885
Br2 Br 0.167 0.672 0.878
Br3 Br 0.316 0.846 0.137
Br4 Br 0.324 0.324 0.116
Br5 Br 0.332 0.814 0.624
Br6 Br 0.342 0.342 0.633
Br7 Br 0.478 0.478 0.375
Br8 Br 0.490 0.990 0.386
Br9 Br 0.667 0.667 0.887
Br10 Br 0.672 0.167 0.878
Br11 Br 0.814 0.332 0.624
Br12 Br 0.830 0.830 0.109
Br13 Br 0.837 0.837 0.625
Br14 Br 0.846 0.316 0.137
Br15 Br 0.978 0.978 0.378
Br16 Br 0.990 0.490 0.386
```